Entry 1:
Compound: GePtS2
Source: Alexandria via LeMat-Bulk
Functional: GGA-PBE
Structure: optimized geometry

Lattice parameters (Å, degrees): 8.2099 8.2099 8.2099 24.77 24.77 24.77
Positions (direct):
Ge: 0.0000 0.0000 0.0000
Pt: 0.5000 0.5000 0.5000
S: 0.1127 0.1127 0.1127
S: 0.8873 0.8873 0.8873

Calculated values
SG: R-3m (166)

***

Entry 2:
Compound: Ge2PtS2
Source: Alexandria via LeMat-Bulk
Functional: GGA-PBE
Structure: optimized geometry

Lattice parameters (Å, degrees): 6.6522 6.6522 6.6522 108.38 108.38 111.69
Positions (direct):
Ge: 0.1869 0.0000 0.1869
Ge: 0.7500 0.0631 0.3131
Ge: 0.7500 0.4369 0.6869
Ge: 0.8131 0.0000 0.8131
Pt: 0.4583 0.9583 0.5000
Pt: 0.7083 0.7083 0.0000
S: 0.0617 0.3391 0.7226
S: 0.0891 0.3117 0.2226
S: 0.0891 0.8665 0.7774
S: 0.6165 0.3391 0.2774

Calculated values
SG: I4_1md (109)

***

Entry 3:
Compound: Ge2PtS6
Source: Alexandria via LeMat-Bulk
Functional: GGA-PBE
Structure: optimized geometry

Lattice parameters (Å, degrees): 7.8377 7.8377 6.2531 98.04 98.04 84.74
Positions (direct):
Ge: 0.1041 0.2767 0.3280
Ge: 0.2767 0.1041 0.8280
Ge: 0.7233 0.8959 0.1720
Ge: 0.8959 0.7233 0.6720
Pt: 0.4057 0.5943 0.7500
Pt: 0.5943 0.4057 0.2500
S: 0.0353 0.2137 0.6404
S: 0.1306 0.6302 0.8840
S: 0.2137 0.0353 0.1404
S: 0.3080 0.4867 0.3760
S: 0.3698 0.8694 0.6160
S: 0.4867 0.3080 0.8760
S: 0.5133 0.6919 0.1240
S: 0.6302 0.1306 0.3840
S: 0.6919 0.5133 0.6240
S: 0.7863 0.9647 0.8596
S: 0.8694 0.3698 0.1160
S: 0.9647 0.7863 0.3596

Calculated values
SG: C2/c (15)

***

Entry 4:
Compound: GePtS4
Source: Alexandria via LeMat-Bulk
Functional: GGA-PBE
Structure: optimized geometry

Lattice parameters (Å, degrees): 6.5525 6.5525 6.0543 98.78 98.78 31.12
Positions (direct):
Ge: 0.0000 0.0000 0.0000
Pt: 0.5000 0.5000 0.5000
S: 0.1029 0.1029 0.3700
S: 0.3916 0.3916 0.1373
S: 0.6085 0.6085 0.8627
S: 0.8971 0.8971 0.6300

Calculated values
SG: C2/m (12)

***

Entry 5:
Compound: GePtS2
Source: Alexandria via LeMat-Bulk
Functional: GGA-PBE
Structure: optimized geometry

Lattice parameters (Å, degrees): 6.9585 6.9585 6.9585 133.67 133.67 67.61
Positions (direct):
Ge: 0.0000 0.0000 0.0000
Ge: 0.7500 0.2500 0.5000
Pt: 0.2500 0.7500 0.5000
Pt: 0.5000 0.5000 0.0000
S: 0.1433 0.6250 0.0183
S: 0.3750 0.3933 0.5183
S: 0.6067 0.1250 0.9817
S: 0.8750 0.8567 0.4817

Calculated values
SG: I-42d (122)

***

Entry 6:
Compound: GePt2S3
Source: Alexandria via LeMat-Bulk
Functional: GGA-PBE
Structure: optimized geometry

Lattice parameters (Å, degrees): 7.2853 7.2853 4.7893 90.00 90.00 120.00
Positions (direct):
Ge: 0.3333 0.6667 0.3514
Ge: 0.6667 0.3333 0.6486
Pt: 0.0000 0.0000 0.0000
Pt: 0.0000 0.5000 0.0000
Pt: 0.5000 0.0000 0.0000
Pt: 0.5000 0.5000 0.0000
S: 0.1745 0.3491 0.7532
S: 0.1745 0.8255 0.7532
S: 0.3491 0.1745 0.2468
S: 0.6509 0.8255 0.7532
S: 0.8255 0.1745 0.2468
S: 0.8255 0.6509 0.2468

Calculated values
SG: P-3m1 (164)

***

Entry 7:
Compound: Ge2PtS
Source: Alexandria via LeMat-Bulk
Functional: GGA-PBE
Structure: optimized geometry

Lattice parameters (Å, degrees): 8.5991 8.5991 6.3575 103.39 103.39 130.47
Positions (direct):
Ge: 0.0834 0.4198 0.7323
Ge: 0.1328 0.2923 0.2328
Ge: 0.2923 0.1328 0.7328
Ge: 0.4198 0.0834 0.2323
Ge: 0.5802 0.9166 0.7677
Ge: 0.7077 0.8672 0.2672
Ge: 0.8672 0.7077 0.7672
Ge: 0.9166 0.5802 0.2677
Pt: 0.0576 0.9424 0.2500
Pt: 0.2055 0.7945 0.7500
Pt: 0.7945 0.2055 0.2500
Pt: 0.9424 0.0576 0.7500
S: 0.3344 0.6656 0.2500
S: 0.4376 0.5624 0.7500
S: 0.5624 0.4376 0.2500
S: 0.6656 0.3344 0.7500

Calculated values
SG: C2/c (15)

***

Entry 8:
Compound: Ge4Pt2S
Source: Alexandria via LeMat-Bulk
Functional: GGA-PBE
Structure: optimized geometry

Lattice parameters (Å, degrees): 6.1565 6.1565 8.3750 113.14 113.14 84.98
Positions (direct):
Ge: 0.0109 0.0109 0.2370
Ge: 0.0126 0.6067 0.2693
Ge: 0.3933 0.9874 0.7307
Ge: 0.5007 0.3814 0.1128
Ge: 0.6186 0.4993 0.8872
Ge: 0.6233 0.0430 0.3996
Ge: 0.9570 0.3767 0.6004
Ge: 0.9891 0.9891 0.7630
Pt: 0.0471 0.4287 0.9365
Pt: 0.3362 0.2548 0.5541
Pt: 0.5713 0.9529 0.0635
Pt: 0.7452 0.6638 0.4459
S: 0.1701 0.8299 0.0000
S: 0.3998 0.6002 0.5000

Calculated values
SG: C2 (5)

***

Entry 9:
Compound: GePtS3
Source: Alexandria via LeMat-Bulk
Functional: GGA-PBE
Structure: optimized geometry

Lattice parameters (Å, degrees): 9.3793 9.3793 5.9888 90.00 90.00 157.86
Positions (direct):
Ge: 0.1456 0.8544 0.5000
Ge: 0.8544 0.1456 0.0000
Pt: 0.3315 0.6685 0.4909
Pt: 0.6685 0.3315 0.9909
S: 0.0956 0.9044 0.1364
S: 0.2467 0.7533 0.8211
S: 0.4183 0.5817 0.1774
S: 0.5817 0.4183 0.6774
S: 0.7533 0.2467 0.3211
S: 0.9044 0.0956 0.6364

Calculated values
SG: Cmc2_1 (36)

***

Entry 10:
Compound: GePtS2
Source: Alexandria via LeMat-Bulk
Functional: GGA-PBE
Structure: optimized geometry

Lattice parameters (Å, degrees): 7.5373 7.5373 7.5373 27.15 27.15 27.15
Positions (direct):
Ge: 0.0000 0.0000 0.0000
Pt: 0.5000 0.5000 0.5000
S: 0.3974 0.3974 0.3974
S: 0.6026 0.6026 0.6026

Calculated values
SG: R-3m (166)

***

Entry 11:
Compound: Ge2PtS
Source: Alexandria via LeMat-Bulk
Functional: GGA-PBE
Structure: optimized geometry

Lattice parameters (Å, degrees): 6.7338 6.7338 6.7338 128.09 128.09 76.48
Positions (direct):
Ge: 0.1093 0.6250 0.9843
Ge: 0.3750 0.3593 0.4843
Ge: 0.6407 0.1250 0.0157
Ge: 0.8750 0.8907 0.5157
Pt: 0.0000 0.0000 0.0000
Pt: 0.7500 0.2500 0.5000
S: 0.2500 0.7500 0.5000
S: 0.5000 0.5000 0.0000

Calculated values
SG: I-42d (122)

***

Entry 12:
Compound: SiGePt2S
Source: Alexandria via LeMat-Bulk
Functional: GGA-PBE
Structure: optimized geometry

Lattice parameters (Å, degrees): 4.4868 4.4868 5.1353 90.00 90.00 90.00
Positions (direct):
Si: 0.0000 0.0000 0.0000
Ge: 0.0000 0.0000 0.5000
Pt: 0.0000 0.5000 0.0000
Pt: 0.5000 0.0000 0.0000
S: 0.5000 0.5000 0.5000

Calculated values
SG: P4/mmm (123)

***

| no. | M_tot (μB per formula unit) | uncorrected formation energy (eV/atom) |
| --- | --- | --- |
| 1 | 0.000 | -0.02 |
| 2 | 0.000 | -0.09 |
| 3 | 0.000 | -0.16 |
| 4 | 0.000 | -0.34 |
| 5 | 0.000 | 0.02 |
| 6 | 0.000 | -0.30 |
| 7 | 0.000 | -0.24 |
| 8 | 0.000 | -0.23 |
| 9 | 0.000 | -0.16 |
| 10 | 0.000 | 0.00 |
| 11 | 0.000 | -0.16 |
| 12 | 0.000 | 0.59 |